Entry 1:
A plane-wave DFT calculation with GGA-PBE was carried out for LiTlHg2 after structural relaxation.

The structure in POSCAR format:
```
LiTlHg2
1.0
4.735 0.000 0.000
0.000 4.735 0.000
0.000 0.000 4.312
Li Tl Hg
1 1 2
Direct
0.000 0.000 0.000
0.500 0.500 0.000
0.000 0.500 0.500
0.500 0.000 0.500
```

Output
Space-group type ... P4/mmm, No. 123
ΔH_f (0 K) ... -0.133 eV per atom

***

Entry 2:
A plane-wave DFT calculation with GGA-PBE was carried out for Li8Tl2Hg3 after structural relaxation.

The structure in POSCAR format:
```
Li8Tl2Hg3
1.0
5.643 -4.820 0.000
5.643 4.820 0.000
-1.614 0.000 4.640
Li Tl Hg
8 2 3
Direct
0.067 0.067 0.273
0.105 0.589 0.858
0.354 0.354 0.420
0.411 0.895 0.142
0.589 0.105 0.858
0.646 0.646 0.580
0.895 0.411 0.142
0.933 0.933 0.727
0.197 0.197 0.841
0.803 0.803 0.159
0.251 0.749 0.500
0.500 0.500 0.000
0.749 0.251 0.500
```

Output
Space-group type ... C2/m, No. 12
ΔH_f (0 K) ... -0.239 eV per atom

***

Entry 3:
A plane-wave DFT calculation with GGA-PBE was carried out for Li3Tl2Hg after structural relaxation.

The structure in POSCAR format:
```
Li3Tl2Hg
1.0
3.425 0.000 0.000
0.000 3.425 0.000
0.000 0.000 10.303
Li Tl Hg
3 2 1
Direct
0.000 0.000 0.000
0.000 0.000 0.346
0.000 0.000 0.654
0.500 0.500 0.172
0.500 0.500 0.828
0.500 0.500 0.500
```

Output
Space-group type ... P4/mmm, No. 123
ΔH_f (0 K) ... -0.273 eV per atom

***

Entry 4:
A plane-wave DFT calculation with GGA-PBE was carried out for LiTl2Hg2 after structural relaxation.

The structure in POSCAR format:
```
LiTl2Hg2
1.0
8.284 0.000 0.000
0.000 8.284 0.000
0.000 0.000 4.089
Li Tl Hg
2 4 4
Direct
0.000 0.000 0.000
0.500 0.500 0.000
0.148 0.352 0.000
0.352 0.852 0.000
0.648 0.148 0.000
0.852 0.648 0.000
0.156 0.656 0.500
0.344 0.156 0.500
0.656 0.844 0.500
0.844 0.344 0.500
```

Output
Space-group type ... P4/mbm, No. 127
ΔH_f (0 K) ... -0.011 eV per atom

***

Entry 5:
A plane-wave DFT calculation with GGA-PBE was carried out for Li12TlHg6 after structural relaxation.

The structure in POSCAR format:
```
Li12TlHg6
1.0
5.131 2.962 4.072
-5.131 2.962 4.072
0.000 -5.925 4.072
Li Tl Hg
12 1 6
Direct
0.029 0.302 0.928
0.072 0.971 0.698
0.126 0.344 0.476
0.302 0.928 0.029
0.344 0.476 0.126
0.476 0.126 0.344
0.524 0.874 0.656
0.656 0.524 0.874
0.698 0.072 0.971
0.874 0.656 0.524
0.928 0.029 0.302
0.971 0.698 0.072
0.500 0.500 0.500
0.203 0.624 0.789
0.211 0.797 0.376
0.376 0.211 0.797
0.624 0.789 0.203
0.789 0.203 0.624
0.797 0.376 0.211
```

Output
Space-group type ... R-3, No. 148
ΔH_f (0 K) ... -0.258 eV per atom

***

Entry 6:
A plane-wave DFT calculation with GGA-PBE was carried out for Li2Tl5Hg12 after structural relaxation.

The structure in POSCAR format:
```
Li2Tl5Hg12
1.0
7.639 -4.726 0.000
7.639 4.726 0.000
-0.034 0.000 7.066
Li Tl Hg
2 5 12
Direct
0.228 0.772 0.000
0.772 0.228 0.000
0.193 0.193 0.020
0.246 0.246 0.525
0.500 0.500 0.500
0.754 0.754 0.475
0.807 0.807 0.980
0.012 0.012 0.719
0.121 0.629 0.694
0.125 0.585 0.256
0.371 0.879 0.306
0.402 0.402 0.966
0.415 0.875 0.744
0.585 0.125 0.256
0.598 0.598 0.034
0.629 0.121 0.694
0.875 0.415 0.744
0.879 0.371 0.306
0.988 0.988 0.281
```

Output
Space-group type ... C2/m, No. 12
ΔH_f (0 K) ... -0.076 eV per atom

***

Entry 7:
A plane-wave DFT calculation with GGA-PBE was carried out for LiTlHg14 after structural relaxation.

The structure in POSCAR format:
```
LiTlHg14
1.0
10.725 0.000 0.000
0.000 3.439 5.738
0.000 -3.439 5.738
Li Tl Hg
1 1 14
Direct
0.000 0.000 0.000
0.000 0.485 0.485
0.000 0.474 0.998
0.000 0.998 0.474
0.228 0.831 0.831
0.248 0.323 0.831
0.248 0.831 0.323
0.266 0.326 0.326
0.500 0.000 0.000
0.500 0.502 0.502
0.500 0.515 0.985
0.500 0.985 0.515
0.734 0.326 0.326
0.752 0.323 0.831
0.752 0.831 0.323
0.772 0.831 0.831
```

Output
Space-group type ... Amm2, No. 38
ΔH_f (0 K) ... -0.034 eV per atom

***

Entry 8:
A plane-wave DFT calculation with GGA-PBE was carried out for Li6TlHg3 after structural relaxation.

The structure in POSCAR format:
```
Li6TlHg3
1.0
8.215 0.000 0.000
0.000 4.730 0.000
-2.842 0.000 9.509
Li Tl Hg
12 2 6
Direct
0.041 0.250 0.403
0.140 0.750 0.194
0.241 0.250 0.989
0.334 0.750 0.796
0.349 0.250 0.299
0.437 0.250 0.598
0.563 0.750 0.402
0.651 0.750 0.701
0.666 0.250 0.204
0.759 0.750 0.011
0.860 0.250 0.806
0.959 0.750 0.597
0.446 0.750 0.104
0.554 0.250 0.896
0.030 0.750 0.891
0.144 0.250 0.694
0.268 0.750 0.491
0.732 0.250 0.509
0.856 0.750 0.306
0.970 0.250 0.109
```

Output
Space-group type ... P2_1/m, No. 11
ΔH_f (0 K) ... -0.314 eV per atom

***

Entry 9:
A plane-wave DFT calculation with GGA-PBE was carried out for Li15Tl2Hg2 after structural relaxation.

The structure in POSCAR format:
```
Li15Tl2Hg2
1.0
4.073 2.351 6.123
-4.073 2.351 6.123
0.000 -4.703 6.123
Li Tl Hg
15 2 2
Direct
0.000 0.000 0.500
0.000 0.308 0.692
0.000 0.500 0.000
0.000 0.692 0.308
0.195 0.562 0.562
0.308 0.000 0.692
0.308 0.692 0.000
0.438 0.438 0.805
0.438 0.805 0.438
0.500 0.000 0.000
0.562 0.195 0.562
0.562 0.562 0.195
0.692 0.000 0.308
0.692 0.308 0.000
0.805 0.438 0.438
0.091 0.091 0.091
0.909 0.909 0.909
0.292 0.292 0.292
0.708 0.708 0.708
```

Output
Space-group type ... R-3m, No. 166
ΔH_f (0 K) ... -0.097 eV per atom

***

Entry 10:
A plane-wave DFT calculation with GGA-PBE was carried out for Li8Tl3Hg after structural relaxation.

The structure in POSCAR format:
```
Li8Tl3Hg
1.0
3.879 -4.467 0.000
3.879 4.467 0.000
-1.953 0.000 6.598
Li Tl Hg
8 3 1
Direct
0.000 0.000 0.000
0.005 0.510 0.012
0.161 0.161 0.651
0.341 0.842 0.348
0.509 0.509 0.999
0.510 0.005 0.012
0.673 0.673 0.647
0.842 0.341 0.348
0.179 0.675 0.690
0.334 0.334 0.313
0.675 0.179 0.690
0.831 0.831 0.308
```

Output
Space-group type ... Cm, No. 8
ΔH_f (0 K) ... -0.246 eV per atom

***

Entry 11:
A plane-wave DFT calculation with GGA-PBE was carried out for LiTl2Hg5 after structural relaxation.

The structure in POSCAR format:
```
LiTl2Hg5
1.0
6.261 0.000 0.000
-3.106 5.900 0.000
-0.067 -3.335 5.801
Li Tl Hg
1 2 5
Direct
0.000 0.000 0.000
0.495 0.008 0.754
0.503 0.990 0.251
0.000 0.000 0.502
0.005 0.525 0.769
0.482 0.471 0.242
0.519 0.528 0.760
0.995 0.474 0.243
```

Output
Space-group type ... P1, No. 1
ΔH_f (0 K) ... -0.062 eV per atom

***

Entry 12:
A plane-wave DFT calculation with GGA-PBE was carried out for Li12TlHg6 after structural relaxation.

The structure in POSCAR format:
```
Li12TlHg6
1.0
6.162 3.557 2.796
-6.162 3.557 2.796
0.000 -7.115 2.796
Li Tl Hg
12 1 6
Direct
0.127 0.275 0.829
0.171 0.873 0.725
0.187 0.465 0.580
0.275 0.829 0.127
0.420 0.813 0.535
0.465 0.580 0.187
0.535 0.420 0.813
0.580 0.187 0.465
0.725 0.171 0.873
0.813 0.535 0.420
0.829 0.127 0.275
0.873 0.725 0.171
0.000 0.000 0.000
0.079 0.483 0.212
0.212 0.079 0.483
0.483 0.212 0.079
0.517 0.788 0.921
0.788 0.921 0.517
0.921 0.517 0.788
```

Output
Space-group type ... R-3, No. 148
ΔH_f (0 K) ... -0.242 eV per atom

***

Entry 13:
A plane-wave DFT calculation with GGA-PBE was carried out for Li4TlHg after structural relaxation.

The structure in POSCAR format:
```
Li4TlHg
1.0
3.472 0.000 0.000
0.000 3.472 0.000
0.000 0.000 9.348
Li Tl Hg
4 1 1
Direct
0.000 0.000 0.156
0.000 0.000 0.844
0.500 0.500 0.323
0.500 0.500 0.677
0.000 0.000 0.500
0.500 0.500 0.000
```

Output
Space-group type ... P4/mmm, No. 123
ΔH_f (0 K) ... -0.258 eV per atom

***

Entry 14:
A plane-wave DFT calculation with GGA-PBE was carried out for Li6TlHg12 after structural relaxation.

The structure in POSCAR format:
```
Li6TlHg12
1.0
6.475 3.738 3.064
-6.475 3.738 3.064
0.000 -7.477 3.064
Li Tl Hg
6 1 12
Direct
0.284 0.284 0.703
0.284 0.703 0.284
0.297 0.716 0.716
0.703 0.284 0.284
0.716 0.297 0.716
0.716 0.716 0.297
0.000 0.000 0.000
0.117 0.500 0.883
0.117 0.883 0.500
0.145 0.392 0.392
0.392 0.145 0.392
0.392 0.392 0.145
0.500 0.117 0.883
0.500 0.883 0.117
0.608 0.608 0.855
0.608 0.855 0.608
0.855 0.608 0.608
0.883 0.117 0.500
0.883 0.500 0.117
```

Output
Space-group type ... R-3m, No. 166
ΔH_f (0 K) ... -0.171 eV per atom

***

Entry 15:
A plane-wave DFT calculation with GGA-PBE was carried out for Li3TlHg3 after structural relaxation.

The structure in POSCAR format:
```
Li3TlHg3
1.0
7.269 0.000 0.000
0.000 7.269 0.000
0.000 0.000 7.269
Li Tl Hg
6 2 6
Direct
0.000 0.250 0.500
0.000 0.750 0.500
0.250 0.500 0.000
0.500 0.000 0.250
0.500 0.000 0.750
0.750 0.500 0.000
0.000 0.000 0.000
0.500 0.500 0.500
0.000 0.500 0.250
0.000 0.500 0.750
0.250 0.000 0.500
0.500 0.250 0.000
0.500 0.750 0.000
0.750 0.000 0.500
```

Output
Space-group type ... Pm-3n, No. 223
ΔH_f (0 K) ... 0.019 eV per atom

***

Entry 16:
A plane-wave DFT calculation with GGA-PBE was carried out for Li6Tl12Hg after structural relaxation.

The structure in POSCAR format:
```
Li6Tl12Hg
1.0
5.412 3.125 4.756
-5.412 3.125 4.756
0.000 -6.250 4.756
Li Tl Hg
6 12 1
Direct
0.232 0.396 0.766
0.234 0.768 0.604
0.396 0.766 0.232
0.604 0.234 0.768
0.766 0.232 0.396
0.768 0.604 0.234
0.045 0.935 0.297
0.065 0.703 0.955
0.130 0.489 0.341
0.297 0.045 0.935
0.341 0.130 0.489
0.489 0.341 0.130
0.511 0.659 0.870
0.659 0.870 0.511
0.703 0.955 0.065
0.870 0.511 0.659
0.935 0.297 0.045
0.955 0.065 0.703
0.500 0.500 0.500
```

Output
Space-group type ... R-3, No. 148
ΔH_f (0 K) ... -0.102 eV per atom

***

Entry 17:
A plane-wave DFT calculation with GGA-PBE was carried out for LiTl7Hg12 after structural relaxation.

The structure in POSCAR format:
```
LiTl7Hg12
1.0
7.455 4.304 2.881
-7.455 4.304 2.881
0.000 -8.609 2.881
Li Tl Hg
1 7 12
Direct
0.000 0.000 0.000
0.093 0.877 0.595
0.123 0.405 0.907
0.405 0.907 0.123
0.500 0.500 0.500
0.595 0.093 0.877
0.877 0.595 0.093
0.907 0.123 0.405
0.049 0.344 0.213
0.213 0.049 0.344
0.231 0.596 0.659
0.341 0.769 0.404
0.344 0.213 0.049
0.404 0.341 0.769
0.596 0.659 0.231
0.656 0.787 0.951
0.659 0.231 0.596
0.769 0.404 0.341
0.787 0.951 0.656
0.951 0.656 0.787
```

Output
Space-group type ... R-3, No. 148
ΔH_f (0 K) ... -0.042 eV per atom

***

Entry 18:
A plane-wave DFT calculation with GGA-PBE was carried out for LiTlHg2 after structural relaxation.

The structure in POSCAR format:
```
LiTlHg2
1.0
3.169 -5.469 0.000
3.169 5.469 0.000
-1.774 0.000 2.864
Li Tl Hg
1 1 2
Direct
0.000 0.000 0.000
0.500 0.500 0.000
0.000 0.500 0.000
0.500 0.000 0.000
```

Output
Space-group type ... C2/m, No. 12
ΔH_f (0 K) ... -0.076 eV per atom

***

Entry 19:
A plane-wave DFT calculation with GGA-PBE was carried out for Li2TlHg8 after structural relaxation.

The structure in POSCAR format:
```
Li2TlHg8
1.0
4.126 -6.357 0.000
4.126 6.357 0.000
-1.385 0.000 5.280
Li Tl Hg
2 1 8
Direct
0.189 0.811 0.000
0.811 0.189 0.000
0.500 0.500 0.500
0.103 0.103 0.302
0.177 0.426 0.895
0.246 0.754 0.500
0.426 0.177 0.895
0.574 0.823 0.105
0.754 0.246 0.500
0.823 0.574 0.105
0.897 0.897 0.698
```

Output
Space-group type ... C2/m, No. 12
ΔH_f (0 K) ... -0.112 eV per atom